(w)
This record from OQMD via LeMat-Bulk describes an optimized crystal structure of Rb2Hg2Se3. The functional is GGA-PBE.

a b c (Å): 9.3167 9.3167 9.3167
angles (deg): 90.00 90.00 90.00
Closest atoms and distances in Å follow each position.
Space group I2_13 (No. 199)
Symmetry-distinct sites (fractional):
Rb 0.0880 0.0880 0.0880 x8  6 Se 3.25-3.47, 3 Rb 3.44
Hg 0.1804 0.3196 0.6804 x8  6 Se 3.09-3.16
Se 0.0000 0.2500 0.4112 x12  4 Hg 3.09-3.16, 2 Rb 3.25

=====

(x)
This record from OQMD via LeMat-Bulk describes an optimized crystal structure of Rb2Hg2Se3. The functional is GGA-PBE.

a b c (Å): 6.3204 6.3204 19.1273
angles (deg): 90.00 90.00 120.00
Closest atoms and distances in Å follow each position.
Space group R-3m (No. 166, hexagonal axes)
Symmetry-distinct sites (fractional):
Rb 0.0000 0.0000 0.0000 x3  6 Se 3.16
Rb 0.0000 0.0000 0.5000 x3  6 Se 3.67, 6 Hg 3.68
Hg 0.0000 0.0000 0.1934 x6  3 Se 3.24
Se 0.0000 0.5000 0.0000 x9  4 Se 3.16, 2 Rb 3.16, 2 Hg 3.24

=====

Tell me which of them is the most stable. Sure, it is (w).

=====

(w)
This record from OQMD via LeMat-Bulk describes an optimized crystal structure of RbSiHg. The functional is GGA-PBE.

a b c (Å): 7.4386 7.4386 7.4386
angles (deg): 90.00 90.00 90.00
Closest atoms and distances in Å follow each position.
Space group F-43m (No. 216)
Symmetry-distinct sites (fractional):
Rb 0.0000 0.0000 0.0000 x4  4 Hg 3.22
Si 0.0000 0.0000 0.5000 x4  4 Hg 3.22
Hg 0.2500 0.2500 0.2500 x4  4 Rb 3.22, 4 Si 3.22

=====

(x)
This record from OQMD via LeMat-Bulk describes an optimized crystal structure of RbSiHg. The functional is GGA-PBE.

a b c (Å): 7.3920 7.3920 7.3920
angles (deg): 90.00 90.00 90.00
Closest atoms and distances in Å follow each position.
Space group F-43m (No. 216)
Symmetry-distinct sites (fractional):
Rb 0.0000 0.0000 0.0000 x4  4 Si 3.20
Si 0.2500 0.2500 0.7500 x4  4 Hg 3.20, 4 Rb 3.20
Hg 0.0000 0.0000 0.5000 x4  4 Si 3.20

=====

(y)
This record from OQMD via LeMat-Bulk describes an optimized crystal structure of RbSiHg. The functional is GGA-PBE.

a b c (Å): 7.8956 7.8956 7.8956
angles (deg): 90.00 90.00 90.00
Closest atoms and distances in Å follow each position.
Space group F-43m (No. 216)
Symmetry-distinct sites (fractional):
Rb 0.0000 0.0000 0.0000 x4  4 Hg 3.42, 4 Si 3.42
Si 0.2500 0.2500 0.2500 x4  4 Rb 3.42
Hg 0.2500 0.2500 0.7500 x4  4 Rb 3.42

=====

Tell me which of them is the most stable. Sure, it is (x).

=====

(w)
This record from OQMD via LeMat-Bulk describes an optimized crystal structure of RbTbHg3Te4. The functional is GGA-PBE.

a b c (Å): 7.3617 7.3617 7.3617
angles (deg): 90.00 90.00 90.00
Closest atoms and distances in Å follow each position.
Space group P-43m (No. 215)
Symmetry-distinct sites (fractional):
Rb 0.0000 0.0000 0.0000 x1  4 Te 3.47
Tb 0.5000 0.5000 0.5000 x1  4 Te 2.90
Hg 0.0000 0.5000 0.5000 x3  4 Te 3.10
Te 0.2725 0.2725 0.2725 x4  1 Tb 2.90, 3 Hg 3.10

Its magnetization is 0.00 μB/atom.

=====

(x)
This record from OQMD via LeMat-Bulk describes an optimized crystal structure of RbTbHg3Te4. The functional is GGA-PBE.

a b c (Å): 6.9383 8.4609 12.0421
angles (deg): 90.00 105.37 90.00
Closest atoms and distances in Å follow each position.
Space group P2_1/m (No. 11)
Symmetry-distinct sites (fractional):
Rb 0.2400 0.2500 0.2959 x2  4 Te 3.61-4.04
Tb 0.4962 0.7500 0.2050 x2  4 Te 2.92-3.14
Hg 0.0007 0.2500 0.6644 x2  3 Te 2.69-2.82
Hg 0.3025 0.5379 0.9445 x4  1 Hg 2.79, 2 Te 2.86-2.90
Te 0.0605 0.7500 0.0412 x2  2 Hg 2.90, 1 Tb 3.14
Te 0.2326 0.5277 0.6997 x4  2 Hg 2.82-2.86, 1 Tb 3.04
Te 0.3975 0.7500 0.4264 x2  1 Hg 2.69, 1 Tb 2.92

Its magnetization is 0.00 μB/atom.

=====

Tell me which of them is the most stable. Sure, it is (x).

=====

(w)
This record from OQMD via LeMat-Bulk describes an optimized crystal structure of RbTcHg. The functional is GGA-PBE.

a b c (Å): 7.8580 7.8580 7.8580
angles (deg): 90.00 90.00 90.00
Closest atoms and distances in Å follow each position.
Space group F-43m (No. 216)
Symmetry-distinct sites (fractional):
Rb 0.0000 0.0000 0.0000 x4  4 Hg 3.40, 4 Tc 3.40
Tc 0.2500 0.2500 0.2500 x4  4 Rb 3.40
Hg 0.2500 0.2500 0.7500 x4  4 Rb 3.40

Its magnetization is 1.35 μB/atom.

=====

(x)
This record from OQMD via LeMat-Bulk describes an optimized crystal structure of RbTcHg. The functional is GGA-PBE.

a b c (Å): 7.4529 7.4529 7.4529
angles (deg): 90.00 90.00 90.00
Closest atoms and distances in Å follow each position.
Space group F-43m (No. 216)
Symmetry-distinct sites (fractional):
Rb 0.0000 0.0000 0.0000 x4  4 Hg 3.23
Tc 0.0000 0.0000 0.5000 x4  4 Hg 3.23
Hg 0.2500 0.2500 0.2500 x4  4 Tc 3.23, 4 Rb 3.23

Its magnetization is 1.21 μB/atom.

=====

Tell me which of them is the most stable. Sure, it is (x).

=====

(w)
This record from OQMD via LeMat-Bulk describes an optimized crystal structure of RbHgTe. The functional is GGA-PBE.

a b c (Å): 8.0079 8.0079 8.0079
angles (deg): 90.00 90.00 90.00
Closest atoms and distances in Å follow each position.
Space group F-43m (No. 216)
Symmetry-distinct sites (fractional):
Rb 0.0000 0.0000 0.0000 x4  4 Te 3.47
Hg 0.0000 0.0000 0.5000 x4  4 Te 3.47
Te 0.2500 0.2500 0.7500 x4  4 Hg 3.47, 4 Rb 3.47

=====

(x)
This record from OQMD via LeMat-Bulk describes an optimized crystal structure of RbHgTe. The functional is GGA-PBE.

a b c (Å): 8.1664 8.1664 8.1664
angles (deg): 90.00 90.00 90.00
Closest atoms and distances in Å follow each position.
Space group F-43m (No. 216)
Symmetry-distinct sites (fractional):
Rb 0.0000 0.0000 0.0000 x4  4 Hg 3.54, 4 Te 3.54
Hg 0.2500 0.2500 0.7500 x4  4 Rb 3.54
Te 0.2500 0.2500 0.2500 x4  4 Rb 3.54

=====

Tell me which of them is the most stable. Sure, it is (w).

=====

(w)
This record from OQMD via LeMat-Bulk describes an optimized crystal structure of RbZrHg3Te4. The functional is GGA-PBE.

a b c (Å): 7.3796 7.3796 7.3796
angles (deg): 90.00 90.00 90.00
Closest atoms and distances in Å follow each position.
Space group P-43m (No. 215)
Symmetry-distinct sites (fractional):
Rb 0.0000 0.0000 0.0000 x1  4 Te 3.62
Zr 0.5000 0.5000 0.5000 x1  4 Te 2.77
Hg 0.0000 0.5000 0.5000 x3  4 Te 3.08
Te 0.2833 0.2833 0.2833 x4  1 Zr 2.77, 3 Hg 3.08

Its magnetization is 0.00 μB/atom.

=====

(x)
This record from OQMD via LeMat-Bulk describes an optimized crystal structure of RbZrHg3Te4. The functional is GGA-PBE.

a b c (Å): 7.0786 8.7050 11.3509
angles (deg): 90.00 105.14 90.00
Closest atoms and distances in Å follow each position.
Space group P2_1/m (No. 11)
Symmetry-distinct sites (fractional):
Rb 0.2340 0.2500 0.3916 x2  10 Te 4.03-4.44, 1 Hg 4.32
Zr 0.1533 0.2500 0.7759 x2  4 Te 2.75-2.97
Hg 0.2977 0.0167 0.9929 x4  1 Hg 2.84, 2 Te 3.01-3.13, 1 Zr 3.15
Hg 0.3913 0.7500 0.2403 x2  4 Te 2.84-2.98
Te 0.0450 0.7500 0.0239 x2  1 Zr 2.97, 5 Hg 2.98-3.13
Te 0.1741 0.7500 0.4187 x2  1 Zr 2.75, 1 Hg 2.84
Te 0.3358 0.5052 0.7012 x4  1 Zr 2.81, 1 Hg 2.90

Its magnetization is 0.00 μB/atom.

=====

Tell me which of them is the most stable. Sure, it is (x).

=====

(w)
This record from OQMD via LeMat-Bulk describes an optimized crystal structure of RbYHg. The functional is GGA-PBE.

a b c (Å): 7.6284 7.6284 7.6284
angles (deg): 90.00 90.00 90.00
Closest atoms and distances in Å follow each position.
Space group F-43m (No. 216)
Symmetry-distinct sites (fractional):
Rb 0.0000 0.0000 0.0000 x4  4 Hg 3.30, 4 Y 3.30
Y 0.2500 0.2500 0.2500 x4  4 Rb 3.30
Hg 0.2500 0.2500 0.7500 x4  4 Rb 3.30

Its magnetization is 0.13 μB/atom.

=====

(x)
This record from OQMD via LeMat-Bulk describes an optimized crystal structure of RbYHg. The functional is GGA-PBE.

a b c (Å): 7.7684 7.7684 7.7684
angles (deg): 90.00 90.00 90.00
Closest atoms and distances in Å follow each position.
Space group F-43m (No. 216)
Symmetry-distinct sites (fractional):
Rb 0.0000 0.0000 0.0000 x4  4 Hg 3.36
Y 0.0000 0.0000 0.5000 x4  4 Hg 3.36
Hg 0.2500 0.2500 0.2500 x4  4 Rb 3.36, 4 Y 3.36

Its magnetization is 0.00 μB/atom.

=====

Tell me which of them is the most stable. Sure, it is (x).

=====

(w)
This record from OQMD via LeMat-Bulk describes an optimized crystal structure of ThReHg. The functional is GGA-PBE.

a b c (Å): 6.9415 6.9415 6.9415
angles (deg): 90.00 90.00 90.00
Closest atoms and distances in Å follow each position.
Space group F-43m (No. 216)
Symmetry-distinct sites (fractional):
Th 0.0000 0.0000 0.0000 x4  4 Hg 3.01, 4 Re 3.01
Re 0.2500 0.2500 0.2500 x4  4 Th 3.01
Hg 0.2500 0.2500 0.7500 x4  4 Th 3.01

Its magnetization is 0.33 μB/atom.

=====

(x)
This record from OQMD via LeMat-Bulk describes an optimized crystal structure of ThReHg. The functional is GGA-PBE.

a b c (Å): 6.7710 6.7710 6.7710
angles (deg): 90.00 90.00 90.00
Closest atoms and distances in Å follow each position.
Space group F-43m (No. 216)
Symmetry-distinct sites (fractional):
Th 0.0000 0.0000 0.0000 x4  4 Hg 2.93
Re 0.0000 0.0000 0.5000 x4  4 Hg 2.93
Hg 0.2500 0.2500 0.7500 x4  4 Th 2.93, 4 Re 2.93

Its magnetization is 0.01 μB/atom.

=====

Tell me which of them is the most stable. Sure, it is (x).